[1]
Entry from the Alexandria database: a relaxed structure of Nd2SmDyTe6 (PBE-GGA).

Summary:
DFT total energy (eV per cell): -51.458
Theoretical density (g/cm3): 5.9
Uncorrected formation energy (meV/atom): -1375

Unit cell a=8.4532 b=8.4532 c=8.4532 alpha=55.54 beta=55.54 gamma=55.54
With the nearest neighbours (Å) after each atom.
Fractional positions:
Nd 0.0000 0.0000 0.0000  6 Te 3.15-3.21
Nd 0.4991 0.4991 0.4991  6 Te 3.16-3.21
Sm 0.1902 0.1902 0.1902  6 Te 3.12-3.17
Dy 0.6891 0.6891 0.6891  6 Te 3.07-3.11
Te 0.0823 0.4161 0.7922  1 Dy 3.07, 2 Nd 3.16-3.21, 1 Sm 3.17
Te 0.2958 0.9096 0.5884  1 Dy 3.11, 1 Sm 3.12, 2 Nd 3.15-3.21
Te 0.4161 0.7922 0.0823  1 Dy 3.07, 2 Nd 3.16-3.21, 1 Sm 3.17
Te 0.5884 0.2958 0.9096  1 Dy 3.11, 1 Sm 3.12, 2 Nd 3.15-3.21
Te 0.7922 0.0823 0.4161  1 Dy 3.07, 2 Nd 3.16-3.21, 1 Sm 3.17
Te 0.9096 0.5884 0.2958  1 Dy 3.11, 1 Sm 3.12, 2 Nd 3.15-3.21


[2]
Entry from the Alexandria database: a relaxed structure of HgAsI2O (PBE-GGA).

Summary:
DFT total energy (eV per cell): -10.075
Theoretical density (g/cm3): 6.7
Fermi-level density of states (states/eV per atom): 1.302
Relative energy among the computed polymorphs (eV/atom): 0.7268
Uncorrected formation energy (meV/atom): 587

Unit cell a=5.7648 b=5.7648 c=4.0850 alpha=90.00 beta=90.00 gamma=90.00
With the nearest neighbours (Å) after each atom.
Fractional positions:
Hg 0.0000 0.0000 0.0000  2 O 2.04
As 0.5000 0.5000 0.0000  8 I 3.53
I 0.0000 0.5000 0.5000  2 O 2.88
I 0.5000 0.0000 0.5000  2 O 2.88
O 0.0000 0.0000 0.5000  2 Hg 2.04


[3]
Entry from the Alexandria database: a relaxed structure of Na2Zr2TaS6 (PBE-GGA).

Summary:
DFT total energy (eV per cell): -71.366
Theoretical density (g/cm3): 4.3
Fermi-level density of states (states/eV per atom): 0.447
Uncorrected formation energy (meV/atom): -1365

Unit cell a=6.1902 b=6.1902 c=7.3273 alpha=98.34 beta=98.34 gamma=119.91
With the nearest neighbours (Å) after each atom.
Fractional positions:
Na 0.1700 0.8300 0.0000  6 S 2.84-2.87
Na 0.8300 0.1700 0.0000  6 S 2.84-2.87
Zr 0.3335 0.6665 0.5000  6 S 2.60-2.61
Zr 0.6665 0.3335 0.5000  6 S 2.60-2.61
Ta 0.0000 0.0000 0.5000  6 S 2.52-2.53
S 0.0765 0.3978 0.7190  1 Ta 2.52, 2 Zr 2.60-2.61
S 0.2484 0.2484 0.2810  1 Ta 2.53, 2 Zr 2.60
S 0.3978 0.0765 0.7190  1 Ta 2.52, 2 Zr 2.60-2.61
S 0.6022 0.9235 0.2810  1 Ta 2.52, 2 Zr 2.60-2.61
S 0.7516 0.7516 0.7190  1 Ta 2.53, 2 Zr 2.60
S 0.9235 0.6022 0.2810  1 Ta 2.52, 2 Zr 2.60-2.61


[4]
Entry from the Alexandria database: a relaxed structure of Ba3GaPd4 (PBE-GGA).

Summary:
DFT total energy (eV per cell): -66.174
Theoretical density (g/cm3): 6.5
Energy of formation from the pure elements (eV per atom): -0.440
Fermi-level density of states (states/eV per atom): 0.436

Unit cell a=12.1972 b=6.4471 c=5.9094 alpha=90.00 beta=90.00 gamma=90.00
With the nearest neighbours (Å) after each atom.
Fractional positions:
Ba 0.0000 0.2108 0.0000  4 Pd 3.11-3.34
Ba 0.2408 0.2639 0.4878  6 Pd 3.11-3.40
Ba 0.2592 0.7361 0.9878  6 Pd 3.11-3.40
Ba 0.5000 0.7892 0.5000  4 Pd 3.11-3.34
Ba 0.7408 0.7361 0.9878  6 Pd 3.11-3.40
Ba 0.7592 0.2639 0.4878  6 Pd 3.11-3.40
Ga 0.0000 0.6982 0.7160  4 Pd 2.54-2.55
Ga 0.5000 0.3018 0.2160  4 Pd 2.54-2.55
Pd 0.0000 0.0318 0.4886  1 Ga 2.54, 2 Pd 2.77
Pd 0.0000 0.7112 0.1468  1 Ga 2.55
Pd 0.1728 0.7523 0.4821  1 Ga 2.54, 1 Pd 2.77
Pd 0.3272 0.2477 0.9821  1 Ga 2.54, 1 Pd 2.77
Pd 0.5000 0.2888 0.6468  1 Ga 2.55
Pd 0.5000 0.9682 0.9886  1 Ga 2.54, 2 Pd 2.77
Pd 0.6728 0.2477 0.9821  1 Ga 2.54, 1 Pd 2.77
Pd 0.8272 0.7523 0.4821  1 Ga 2.54, 1 Pd 2.77


[5]
Entry from the Alexandria database: a relaxed structure of YAsSeN2 (PBE-GGA).

Summary:
DFT total energy (eV per cell): -29.686
Theoretical density (g/cm3): 5.6
Fermi-level density of states (states/eV per atom): 0.158
Relative energy among the computed polymorphs (eV/atom): 0.0000
Uncorrected formation energy (meV/atom): 313

Unit cell a=3.9747 b=3.9747 c=5.0422 alpha=90.00 beta=90.00 gamma=90.00
With the nearest neighbours (Å) after each atom.
Fractional positions:
Y 0.0000 0.0000 0.0000  4 Se 2.81
As 0.5000 0.5000 0.5000  4 N 1.99
Se 0.5000 0.5000 0.0000  2 As 2.52, 4 Y 2.81
N 0.0000 0.5000 0.5000  2 As 1.99
N 0.5000 0.0000 0.5000  2 As 1.99


What is the formula in the third record? Na2Zr2TaS6


DFT total energy of number 4 (Ba3GaPd4)? -66.174 eV per cell


Among the records above, which one has the lowest theoretical density? Na2Zr2TaS6


What is the theoretical density in the first record? 5.9 g/cm3